(1)
The following is a GGA-PBEsol calculation of crystalline CoPAu at its relaxed geometry, from Alexandria.

Output
Total magnetization: 1.043 μB per formula unit
Energy relative to the elements: 0.192 eV per atom
Crystal system: cubic
DOS(E_F): 0.83 states/eV per atom

a b c (Å): 3.9856 3.9856 3.9856
angles (deg): 60.00 60.00 60.00
With the nearest neighbours (Å) after each atom.
Fractional positions:
Au: 0.5000 0.5000 0.5000  4 Co 2.44
Co: 0.2500 0.2500 0.2500  4 P 2.44, 4 Au 2.44
P: 0.0000 0.0000 0.0000  4 Co 2.44



(2)
The following is a GGA-PBEsol calculation of crystalline SrTcW2 at its relaxed geometry, from Alexandria.

Output
Total magnetization: 0.000 μB per formula unit
Relative energy among the computed polymorphs: 0.0 meV per atom
Energy relative to the elements: 0.821 eV per atom
Crystal system: tetragonal
DOS(E_F): 1.09 states/eV per atom

a b c (Å): 3.0310 3.0310 8.3720
angles (deg): 90.00 90.00 90.00
With the nearest neighbours (Å) after each atom.
Fractional positions:
Sr: 0.5000 0.5000 0.0000  4 Sr 3.03
Tc: 0.5000 0.5000 0.5000  8 W 2.64
W: 0.0000 0.0000 0.6845  4 Tc 2.64
W: 0.0000 0.0000 0.3155  4 Tc 2.64



(3)
The following is a GGA-PBEsol calculation of crystalline CoHgSbI2 at its relaxed geometry, from Alexandria.

Output
E_form (uncorrected): 1.241 eV/atom
Total magnetization: 3.565 μB per formula unit
Crystal system: tetragonal
DOS(E_F): 2.04 states/eV per atom

a b c (Å): 5.5124 5.7205 5.7205
angles (deg): 90.00 90.00 90.00
With the nearest neighbours (Å) after each atom.
Fractional positions:
I: 0.0000 0.0000 0.5000  2 Hg 2.86
I: 0.0000 0.5000 0.0000  2 Hg 2.86
Sb: 0.5000 0.0000 0.0000  2 Hg 2.76
Co: 0.5000 0.5000 0.5000  8 I 3.97, 4 Sb 4.05
Hg: 0.0000 0.0000 0.0000  2 Sb 2.76, 4 I 2.86



(4)
The following is a GGA-PBEsol calculation of crystalline Ho4C7 at its relaxed geometry, from Alexandria.

Output
Total magnetization: 0.000 μB per formula unit
Energy relative to the elements: -0.223 eV per atom
Crystal system: monoclinic

a b c (Å): 3.7037 12.7049 13.8628
angles (deg): 90.00 92.19 90.00
With the nearest neighbours (Å) after each atom.
Fractional positions:
C: 0.2618 0.1110 0.0548  6 Ho 2.38-2.62
C: 0.7382 0.6110 0.4452  6 Ho 2.38-2.62
C: 0.7382 0.8890 0.9452  6 Ho 2.38-2.62
C: 0.2618 0.3890 0.5548  6 Ho 2.38-2.62
C: 0.2774 0.6457 0.6580  1 C 1.31
C: 0.7226 0.1457 0.8420  1 C 1.31
C: 0.7226 0.3543 0.3420  1 C 1.31
C: 0.2774 0.8543 0.1580  1 C 1.31
C: 0.2496 0.9113 0.5447  1 C 1.33
C: 0.7504 0.4113 0.9553  1 C 1.33
C: 0.7504 0.0887 0.4553  1 C 1.33
C: 0.2496 0.5887 0.0447  1 C 1.33
C: 0.2140 0.9290 0.7330  1 C 1.33
C: 0.7860 0.4290 0.7670  1 C 1.33
C: 0.7860 0.0710 0.2670  1 C 1.33
C: 0.2140 0.5710 0.2330  1 C 1.33
C: 0.2205 0.6994 0.8412  1 C 1.34
C: 0.7795 0.1994 0.6588  1 C 1.34
C: 0.7795 0.3006 0.1588  1 C 1.34
C: 0.2205 0.8006 0.3412  1 C 1.34
C: 0.2405 0.9036 0.6404  2 C 1.33
C: 0.7595 0.4036 0.8596  2 C 1.33
C: 0.7595 0.0964 0.3596  2 C 1.33
C: 0.2405 0.5964 0.1404  2 C 1.33
C: 0.2386 0.6667 0.7495  2 C 1.31-1.34
C: 0.7614 0.1667 0.7505  2 C 1.31-1.34
C: 0.7614 0.3333 0.2505  2 C 1.31-1.34
C: 0.2386 0.8333 0.2495  2 C 1.31-1.34
Ho: 0.2354 0.0212 0.8920  6 C 2.50-2.62
Ho: 0.7646 0.5212 0.6080  6 C 2.50-2.62
Ho: 0.7646 0.9788 0.1080  6 C 2.50-2.62
Ho: 0.2354 0.4788 0.3920  6 C 2.50-2.62
Ho: 0.7461 0.0224 0.6116  6 C 2.33-2.54
Ho: 0.2539 0.5224 0.8884  6 C 2.33-2.54
Ho: 0.2539 0.9776 0.3884  6 C 2.33-2.54
Ho: 0.7461 0.4776 0.1116  6 C 2.33-2.54
Ho: 0.7199 0.8104 0.7896  6 C 2.38-2.60
Ho: 0.2801 0.3104 0.7104  6 C 2.38-2.60
Ho: 0.2801 0.1896 0.2104  6 C 2.38-2.60
Ho: 0.7199 0.6896 0.2896  6 C 2.38-2.60
Ho: 0.2466 0.7790 0.9959  5 C 2.37-2.51
Ho: 0.7534 0.2790 0.5041  5 C 2.37-2.51
Ho: 0.7534 0.2210 0.0041  5 C 2.37-2.51
Ho: 0.2466 0.7210 0.4959  5 C 2.37-2.51



(5)
The following is a GGA-PBEsol calculation of crystalline TiH2Ru at its relaxed geometry, from Alexandria.

Output
Total magnetization: 0.000 μB per formula unit
Total DFT energy (no corrections): -6.13 eV per atom
Crystal system: cubic
DOS(E_F): 0.42 states/eV per atom

a b c (Å): 3.6413 3.6413 3.6413
angles (deg): 60.00 60.00 60.00
With the nearest neighbours (Å) after each atom.
Fractional positions:
Ru: 0.5000 0.5000 0.5000  8 H 2.23
H: 0.2500 0.2500 0.2500  4 Ru 2.23, 4 Ti 2.23
H: 0.7500 0.7500 0.7500  4 Ru 2.23, 4 Ti 2.23
Ti: 0.0000 0.0000 0.0000  8 H 2.23



(6)
The following is a GGA-PBEsol calculation of crystalline SrHfN2 at its relaxed geometry, from Alexandria.

Output
E_form (uncorrected): -1.544 eV/atom
Total magnetization: 0.000 μB per formula unit
Crystal system: tetragonal
DOS(E_F): 0.00 states/eV per atom

a b c (Å): 3.9982 3.9982 8.1799
angles (deg): 90.00 90.00 90.00
With the nearest neighbours (Å) after each atom.
Fractional positions:
Sr: 0.0000 0.5000 0.1429  1 N 2.51
Sr: 0.5000 0.0000 0.8571  1 N 2.51
Hf: 0.5000 0.0000 0.4075  5 N 1.99-2.14
Hf: 0.0000 0.5000 0.5925  5 N 1.99-2.14
N: 0.0000 0.5000 0.8358  1 Hf 1.99
N: 0.5000 0.0000 0.1642  1 Hf 1.99
N: 0.0000 0.0000 0.5000  4 Hf 2.14
N: 0.5000 0.5000 0.5000  4 Hf 2.14



(7)
The following is a GGA-PBEsol calculation of crystalline PrNi2B2C at its relaxed geometry, from Alexandria.

Output
Total magnetization: 0.000 μB per formula unit
Energy relative to the elements: -0.475 eV per atom
Crystal system: tetragonal
DOS(E_F): 0.41 states/eV per atom

a b c (Å): 3.6760 3.6760 5.5850
angles (deg): 109.21 109.21 90.00
With the nearest neighbours (Å) after each atom.
Fractional positions:
Pr: 0.0000 0.0000 0.0000  4 C 2.60
Ni: 0.2500 0.7500 0.5000  4 B 2.08
Ni: 0.7500 0.2500 0.5000  4 B 2.08
C: 0.5000 0.5000 0.0000  2 B 1.50
B: 0.3487 0.3487 0.6973  1 C 1.50
B: 0.6513 0.6513 0.3027  1 C 1.50



(8)
The following is a GGA-PBEsol calculation of crystalline BaZnSbPt2 at its relaxed geometry, from Alexandria.

Output
E_form (uncorrected): 0.300 eV/atom
Total magnetization: 0.000 μB per formula unit
Crystal system: tetragonal
DOS(E_F): 0.83 states/eV per atom

a b c (Å): 4.7517 4.7517 5.4831
angles (deg): 90.00 90.00 90.00
With the nearest neighbours (Å) after each atom.
Fractional positions:
Sb: 0.5000 0.5000 0.5000  4 Ba 3.36, 8 Pt 3.63
Zn: 0.0000 0.0000 0.0000  4 Pt 2.38
Ba: 0.0000 0.0000 0.5000  2 Zn 2.74
Pt: 0.0000 0.5000 0.0000  2 Zn 2.38
Pt: 0.5000 0.0000 0.0000  2 Zn 2.38



Please write out number 8 again, unchanged.
The following is a GGA-PBEsol calculation of crystalline BaZnSbPt2 at its relaxed geometry, from Alexandria.

Output
E_form (uncorrected): 0.300 eV/atom
Total magnetization: 0.000 μB per formula unit
Crystal system: tetragonal
DOS(E_F): 0.83 states/eV per atom

a b c (Å): 4.7517 4.7517 5.4831
angles (deg): 90.00 90.00 90.00
With the nearest neighbours (Å) after each atom.
Fractional positions:
Sb: 0.5000 0.5000 0.5000  4 Ba 3.36, 8 Pt 3.63
Zn: 0.0000 0.0000 0.0000  4 Pt 2.38
Ba: 0.0000 0.0000 0.5000  2 Zn 2.74
Pt: 0.0000 0.5000 0.0000  2 Zn 2.38
Pt: 0.5000 0.0000 0.0000  2 Zn 2.38



Question: Which formula does entry 4 have?
Answer: Ho4C7



Question: Which value of total magnetization does entry 2 give?
Answer: 0.000 μB per formula unit